## NaNp3Tl3S8 (PBE)

Data for an optimized crystal structure of NaNp3Tl3S8.

Lattice parameters (Å, degrees): 8.041 8.041 8.745 117.38 117.38 60.00
Element x y z (fractional)
Na1 0.000 0.000 0.000
Np1 0.000 0.500 0.000
Np2 0.500 0.000 0.000
Np3 0.500 0.500 0.000
Tl1 0.000 0.000 0.500
Tl2 0.000 0.500 0.500
Tl3 0.500 0.000 0.500
S1 0.243 0.707 0.193
S2 0.244 0.244 0.194
S3 0.268 0.268 0.803
S4 0.293 0.757 0.807
S5 0.707 0.243 0.193
S6 0.732 0.732 0.197
S7 0.756 0.756 0.806
S8 0.757 0.293 0.807

Results
Fermi-level density of states: 28.2 states/eV/cell
total energy: -95.50 eV/cell
SG: C2/m